A relaxed SiOsAu2 crystal, computed with PBE.

## Properties
Uncorrected formation energy   0.137 eV per atom
Relative energy among the computed polymorphs   9.0 meV/atom
Calculated total energy   -5.664 eV per atom

Unit cell a=8.808 b=8.808 c=8.808 alpha=19.10 beta=19.10 gamma=19.10
Fractional coordinates of all 4 atoms:
Au: 0.010 0.010 0.010
Au: 0.247 0.247 0.247
Si: 0.755 0.755 0.755
Os: 0.488 0.488 0.488



A relaxed SiOsAu2 crystal, computed with PBE.

## Properties
Uncorrected formation energy   0.214 eV per atom
Relative energy among the computed polymorphs   85.9 meV/atom
Calculated total energy   -5.588 eV per atom

Unit cell a=6.481 b=6.481 c=6.481 alpha=154.25 beta=144.95 gamma=44.00
Fractional coordinates of all 4 atoms:
Au: 0.435 0.435 0.000
Au: 0.065 0.065 0.000
Si: 0.250 0.750 0.500
Os: 0.750 0.250 0.500



A relaxed SiOsAu2 crystal, computed with PBE.

## Properties
Uncorrected formation energy   0.130 eV per atom
Relative energy among the computed polymorphs   1.9 meV/atom
Calculated total energy   -5.672 eV per atom

Unit cell a=3.034 b=3.034 c=6.936 alpha=90.00 beta=90.00 gamma=90.00
Fractional coordinates of all 4 atoms:
Au: 0.500 0.500 0.262
Au: 0.000 0.000 0.972
Os: 0.000 0.000 0.554
Si: 0.500 0.500 0.713



A relaxed SiTc2OsAu crystal, computed with PBE.

## Properties
Uncorrected formation energy   2.377 eV per atom
Calculated total energy   -5.756 eV per atom

Unit cell a=4.940 b=4.359 c=4.940 alpha=90.00 beta=90.00 gamma=90.00
Each line ends with the local moment (μB).
Fractional coordinates of all 5 atoms:
Tc: 0.500 0.000 0.000  2.06
Tc: 0.000 0.000 0.500  2.30
Si: 0.000 0.500 0.000  -0.03
Os: 0.500 0.500 0.500  1.32
Au: 0.000 0.000 0.000  0.11



A relaxed SiOsW2Au crystal, computed with PBE.

## Properties
Uncorrected formation energy   1.994 eV per atom
Calculated total energy   -7.174 eV per atom

Unit cell a=4.726 b=5.072 c=4.726 alpha=90.00 beta=90.00 gamma=90.00
Each line ends with the local moment (μB).
Fractional coordinates of all 5 atoms:
W: 0.500 0.000 0.000  0.61
W: 0.000 0.000 0.500  0.45
Au: 0.000 0.500 0.000  0.02
Si: 0.500 0.500 0.500  -0.04
Os: 0.000 0.000 0.000  -0.08



A relaxed YSi2OsAu crystal, computed with PBE.

## Properties
Uncorrected formation energy   -0.084 eV per atom
Calculated total energy   -6.447 eV per atom

Unit cell a=4.546 b=5.629 c=4.546 alpha=90.00 beta=90.00 gamma=90.00
Fractional coordinates of all 5 atoms:
Si: 0.500 0.000 0.000
Si: 0.000 0.000 0.500
Os: 0.000 0.000 0.000
Y: 0.000 0.500 0.000
Au: 0.500 0.500 0.500



A relaxed YSiOsAu2 crystal, computed with PBE.

## Properties
Uncorrected formation energy   0.081 eV per atom
Calculated total energy   -5.853 eV per atom

Unit cell a=4.721 b=4.589 c=4.721 alpha=90.00 beta=90.00 gamma=90.00
Fractional coordinates of all 5 atoms:
Si: 0.000 0.000 0.000
Os: 0.000 0.500 0.000
Au: 0.500 0.000 0.000
Au: 0.000 0.000 0.500
Y: 0.500 0.500 0.500



A relaxed Sm8OsAu2 crystal, computed with PBE.

## Properties
Relative energy among the computed polymorphs   0.0 meV/atom
Calculated total energy   -5.378 eV per atom

Unit cell a=5.183 b=6.970 c=9.263 alpha=103.55 beta=106.25 gamma=90.00
Fractional coordinates of all 11 atoms:
Au: 0.811 0.273 0.622
Au: 0.189 0.727 0.378
Sm: 0.028 0.791 0.057
Sm: 0.202 0.317 0.404
Sm: 0.412 0.565 0.825
Sm: 0.340 0.032 0.681
Sm: 0.972 0.209 0.943
Sm: 0.588 0.435 0.175
Sm: 0.798 0.683 0.596
Sm: 0.660 0.968 0.319
Os: 0.500 0.000 0.000



A relaxed Sm8OsAu2 crystal, computed with PBE.

## Properties
Relative energy among the computed polymorphs   71.7 meV/atom
Calculated total energy   -5.306 eV per atom

Unit cell a=6.423 b=8.814 c=8.814 alpha=125.82 beta=106.03 gamma=106.03
Fractional coordinates of all 11 atoms:
Sm: 0.656 0.178 0.425
Sm: 0.998 0.768 0.150
Sm: 0.656 0.425 0.178
Sm: 0.998 0.150 0.768
Sm: 0.342 0.654 0.883
Sm: 0.759 0.701 0.701
Sm: 0.342 0.883 0.654
Sm: 0.091 0.253 0.253
Au: 0.439 0.707 0.287
Au: 0.439 0.287 0.707
Os: 0.279 0.027 0.027



A relaxed Sm2OsAu crystal, computed with PBE.

## Properties
Calculated total energy   -6.414 eV per atom

Unit cell a=3.484 b=3.484 c=7.556 alpha=90.00 beta=90.00 gamma=90.00
Fractional coordinates of all 4 atoms:
Sm: 0.000 0.000 0.228
Sm: 0.000 0.000 0.772
Au: 0.500 0.500 0.500
Os: 0.500 0.500 0.000



A relaxed Sm5Os2Au2 crystal, computed with PBE.

## Properties
Calculated total energy   -6.271 eV per atom

Unit cell a=7.649 b=7.648 c=8.729 alpha=90.00 beta=64.02 gamma=90.00
Fractional coordinates of all 18 atoms:
Au: 0.213 0.000 0.574
Au: 0.713 0.500 0.574
Au: 0.287 0.500 0.426
Au: 0.787 0.000 0.426
Os: 0.384 0.886 0.000
Os: 0.616 0.114 0.000
Os: 0.116 0.386 0.000
Os: 0.884 0.614 0.000
Sm: 0.449 0.179 0.740
Sm: 0.000 0.000 0.000
Sm: 0.551 0.821 0.260
Sm: 0.500 0.500 0.000
Sm: 0.949 0.321 0.740
Sm: 0.811 0.821 0.740
Sm: 0.051 0.679 0.260
Sm: 0.689 0.321 0.260
Sm: 0.311 0.679 0.740
Sm: 0.189 0.179 0.260



A relaxed TbSmOsAu crystal, computed with PBE.

## Properties
Calculated total energy   -6.368 eV per atom

Unit cell a=5.007 b=5.007 c=5.007 alpha=60.00 beta=60.00 gamma=60.00
Fractional coordinates of all 4 atoms:
Sm: 0.250 0.250 0.250
Os: 0.500 0.500 0.500
Tb: 0.750 0.750 0.750
Au: 0.000 0.000 0.000



A relaxed SmThOsAu crystal, computed with PBE.

## Properties
Calculated total energy   -7.027 eV per atom

Unit cell a=5.104 b=5.104 c=5.104 alpha=60.00 beta=60.00 gamma=60.00
Fractional coordinates of all 4 atoms:
Os: 0.000 0.000 0.000
Sm: 0.250 0.250 0.250
Au: 0.500 0.500 0.500
Th: 0.750 0.750 0.750



A relaxed SmTmOsAu crystal, computed with PBE.

## Properties
Calculated total energy   -6.361 eV per atom

Unit cell a=4.965 b=4.965 c=4.965 alpha=60.00 beta=60.00 gamma=60.00
Fractional coordinates of all 4 atoms:
Sm: 0.250 0.250 0.250
Au: 0.500 0.500 0.500
Tm: 0.750 0.750 0.750
Os: 0.000 0.000 0.000



A relaxed SmYOsAu crystal, computed with PBE.

## Properties
Calculated total energy   -6.827 eV per atom

Unit cell a=5.003 b=5.003 c=5.003 alpha=60.00 beta=60.00 gamma=60.00
Fractional coordinates of all 4 atoms:
Os: 0.000 0.000 0.000
Y: 0.250 0.250 0.250
Sm: 0.750 0.750 0.750
Au: 0.500 0.500 0.500



A relaxed SmZrOsAu crystal, computed with PBE.

## Properties
Calculated total energy   -7.244 eV per atom

Unit cell a=4.899 b=4.899 c=4.899 alpha=60.00 beta=60.00 gamma=60.00
Fractional coordinates of all 4 atoms:
Os: 0.500 0.500 0.500
Sm: 0.750 0.750 0.750
Zr: 0.250 0.250 0.250
Au: 0.000 0.000 0.000



A relaxed SnOsAu3 crystal, computed with PBE.

## Properties
Relative energy among the computed polymorphs   0.0 meV/atom
Calculated total energy   -3.998 eV per atom

Unit cell a=5.037 b=5.037 c=5.037 alpha=90.00 beta=90.00 gamma=90.00
Fractional coordinates of all 5 atoms:
Sn: 0.500 0.500 0.500
Au: 0.500 0.000 0.000
Au: 0.000 0.500 0.000
Au: 0.000 0.000 0.500
Os: 0.000 0.000 0.000



A relaxed SnOsAu2 crystal, computed with PBE.

## Properties
Calculated total energy   -4.904 eV per atom

Unit cell a=3.897 b=3.897 c=10.505 alpha=79.31 beta=79.31 gamma=90.00
Each line ends with the local moment (μB).
Fractional coordinates of all 8 atoms:
Os: 0.750 0.250 0.500  0.37
Os: 0.000 0.000 0.000  0.37
Au: 0.875 0.883 0.750  0.00
Au: 0.117 0.625 0.250  0.00
Au: 0.375 0.367 0.750  0.00
Au: 0.633 0.125 0.250  0.00
Sn: 0.250 0.750 0.500  0.00
Sn: 0.500 0.500 0.000  0.00



A relaxed Sn3OsAu crystal, computed with PBE.

## Properties
Relative energy among the computed polymorphs   0.0 meV/atom
Calculated total energy   -5.008 eV per atom

Unit cell a=5.125 b=5.125 c=5.125 alpha=90.00 beta=90.00 gamma=90.00
Fractional coordinates of all 5 atoms:
Au: 0.500 0.500 0.500
Sn: 0.000 0.500 0.000
Sn: 0.000 0.000 0.500
Sn: 0.500 0.000 0.000
Os: 0.000 0.000 0.000



A relaxed Sn2Os2Au crystal, computed with PBE.

## Properties
Calculated total energy   -6.398 eV per atom

Unit cell a=7.505 b=7.505 c=3.240 alpha=90.00 beta=90.00 gamma=90.00
Fractional coordinates of all 10 atoms:
Sn: 0.842 0.342 0.500
Sn: 0.158 0.658 0.500
Sn: 0.658 0.842 0.500
Sn: 0.342 0.158 0.500
Os: 0.641 0.141 0.000
Os: 0.859 0.641 0.000
Os: 0.141 0.359 0.000
Os: 0.359 0.859 0.000
Au: 0.500 0.500 0.000
Au: 0.000 0.000 0.000



A relaxed Sn6OsAu crystal, computed with PBE.

## Properties
Calculated total energy   -4.691 eV per atom

Unit cell a=6.313 b=6.311 c=7.133 alpha=63.68 beta=63.68 gamma=59.95
Fractional coordinates of all 8 atoms:
Sn: 0.025 0.444 0.730
Sn: 0.975 0.556 0.270
Sn: 0.557 0.199 0.270
Sn: 0.800 0.025 0.731
Sn: 0.443 0.801 0.730
Sn: 0.200 0.975 0.269
Au: 0.500 0.500 0.500
Os: 0.000 0.000 0.000



A relaxed SnOsAu3 crystal, computed with PBE.

## Properties
Relative energy among the computed polymorphs   630.2 meV/atom
Calculated total energy   -3.367 eV per atom

Unit cell a=5.094 b=5.094 c=5.094 alpha=90.00 beta=90.00 gamma=90.00
Each line ends with the local moment (μB).
Fractional coordinates of all 5 atoms:
Os: 0.500 0.500 0.500  3.06
Sn: 0.000 0.000 0.000  0.05
Au: 0.000 0.500 0.000  0.04
Au: 0.500 0.000 0.000  0.05
Au: 0.000 0.000 0.500  0.07



A relaxed SnTeOs2Au crystal, computed with PBE.

## Properties
Uncorrected formation energy   2.023 eV per atom
Calculated total energy   -4.553 eV per atom

Unit cell a=5.009 b=5.234 c=5.009 alpha=90.00 beta=90.00 gamma=90.00
Each line ends with the local moment (μB).
Fractional coordinates of all 5 atoms:
Au: 0.000 0.000 0.000  0.17
Te: 0.500 0.500 0.500  0.03
Os: 0.500 0.000 0.000  1.63
Os: 0.000 0.000 0.500  2.30
Sn: 0.000 0.500 0.000  -0.01



A relaxed ZrSn2OsAu crystal, computed with PBE.

## Properties
Calculated total energy   -5.890 eV per atom

Unit cell a=5.052 b=5.130 c=5.052 alpha=90.00 beta=90.00 gamma=90.00
Fractional coordinates of all 5 atoms:
Os: 0.000 0.000 0.000
Zr: 0.000 0.500 0.000
Sn: 0.500 0.000 0.000
Sn: 0.000 0.000 0.500
Au: 0.500 0.500 0.500



A relaxed Sr2OsAu crystal, computed with PBE.

## Properties
Relative energy among the computed polymorphs   697.4 meV/atom
Calculated total energy   -3.557 eV per atom

Unit cell a=6.271 b=6.271 c=9.077 alpha=69.79 beta=69.79 gamma=90.00
Each line ends with the local moment (μB).
Fractional coordinates of all 8 atoms:
Sr: 0.875 0.841 0.750  -0.01
Sr: 0.159 0.625 0.250  -0.01
Sr: 0.375 0.409 0.750  -0.01
Sr: 0.591 0.125 0.250  -0.01
Au: 0.000 0.000 0.000  -0.01
Au: 0.750 0.250 0.500  -0.01
Os: 0.500 0.500 0.000  1.10
Os: 0.250 0.750 0.500  1.10



A relaxed Sr2OsAu crystal, computed with PBE.

## Properties
Relative energy among the computed polymorphs   63.2 meV/atom
Calculated total energy   -4.191 eV per atom

Unit cell a=6.560 b=6.560 c=6.560 alpha=149.13 beta=133.51 gamma=56.85
Fractional coordinates of all 4 atoms:
Au: 0.457 0.457 0.000
Sr: 0.733 0.233 0.500
Sr: 0.031 0.031 0.000
Os: 0.279 0.779 0.500



A relaxed SrOs2Au crystal, computed with PBE.

## Properties
Relative energy among the computed polymorphs   270.4 meV/atom
Calculated total energy   -6.252 eV per atom

Unit cell a=4.849 b=4.688 c=4.241 alpha=81.02 beta=90.00 gamma=90.00
Fractional coordinates of all 4 atoms:
Sr: 0.500 0.250 0.250
Os: 0.000 0.867 0.986
Os: 0.000 0.633 0.514
Au: 0.500 0.750 0.750